AsP2Os | PBE-GGA | optimized geometry

Unit cell a=4.541 b=4.541 c=4.541 alpha=126.38 beta=126.38 gamma=79.26
Atoms (fractional coordinates):
As: 0.500 0.500 0.000
Os: 0.750 0.250 0.500
P: 0.000 0.000 0.000
P: 0.250 0.750 0.500

Space group = No. 119
ΔE_f = 238 kJ/mol of formula units
Crystal system = tetragonal

***

CsRb2Cd6 | PBE-GGA | optimized geometry

Unit cell a=5.598 b=8.730 c=8.730 alpha=120.00 beta=89.99 gamma=90.00
Atoms (fractional coordinates):
Cs: 0.000 0.000 0.000
Rb: 0.000 0.333 0.667
Rb: 0.000 0.667 0.333
Cd: 0.500 0.334 0.334
Cd: 0.500 0.666 0.666
Cd: 0.500 0.000 0.666
Cd: 0.500 0.666 0.000
Cd: 0.500 0.334 0.000
Cd: 0.500 0.000 0.334

Space group = No. 191
ΔE_f = -29 kJ/mol of formula units
Crystal system = hexagonal

***

LaZnPt | PBE-GGA | optimized geometry

Unit cell a=4.885 b=4.885 c=4.885 alpha=60.00 beta=60.00 gamma=60.00
Atoms (fractional coordinates):
La: 0.750 0.750 0.750
Pt: 0.000 0.000 0.000
Zn: 0.500 0.500 0.500

Space group = No. 216
ΔE_f = -74 kJ/mol of formula units
Crystal system = cubic

***

Dy2TmMgRh4 | PBE-GGA | optimized geometry

Unit cell a=4.727 b=4.727 c=8.191 alpha=73.23 beta=73.23 gamma=60.00
Atoms (fractional coordinates):
Dy: 0.755 0.755 0.736
Dy: 0.245 0.245 0.264
Tm: 0.000 0.000 0.000
Mg: 0.500 0.500 0.500
Rh: 0.375 0.375 0.874
Rh: 0.876 0.876 0.372
Rh: 0.124 0.124 0.628
Rh: 0.625 0.625 0.126

Space group = No. 166
ΔE_f = -645 kJ/mol of formula units
Crystal system = trigonal

***

SrB2OsO8 | PBE-GGA | optimized geometry

Unit cell a=4.965 b=4.965 c=7.043 alpha=90.00 beta=90.00 gamma=120.00
Atoms (fractional coordinates):
Sr: 0.000 0.000 0.500
B: 0.667 0.333 0.238
B: 0.333 0.667 0.762
Os: 0.000 0.000 0.000
O: 0.827 0.173 0.160
O: 0.827 0.653 0.160
O: 0.347 0.173 0.160
O: 0.653 0.827 0.840
O: 0.333 0.667 0.563
O: 0.667 0.333 0.437
O: 0.173 0.827 0.840
O: 0.173 0.347 0.840

Space group = No. 164
E_tot = -7.174 eV per atom
Crystal system = trigonal

***

Mo2Rh3 | PBE-GGA | optimized geometry

Unit cell a=11.281 b=11.281 c=11.281 alpha=14.10 beta=14.10 gamma=14.10
Atoms (fractional coordinates):
Mo: 0.401 0.401 0.401
Mo: 0.599 0.599 0.599
Rh: 0.000 0.000 0.000
Rh: 0.202 0.202 0.202
Rh: 0.798 0.798 0.798

Space group = No. 166
ΔE_f = -46 kJ/mol of formula units
Crystal system = trigonal
Energy above the most stable polymorph in this dataset = 0 kJ/mol of formula units

***

NaCe2TaO8 | PBE-GGA | optimized geometry

Unit cell a=5.034 b=5.034 c=7.157 alpha=90.00 beta=90.00 gamma=90.74
Atoms (fractional coordinates):
Na: 0.000 0.000 0.500
Ce: 0.500 0.500 0.742
Ce: 0.500 0.500 0.258
Ta: 0.000 0.000 0.000
O: 0.189 0.810 0.203
O: 0.714 0.714 0.000
O: 0.811 0.190 0.203
O: 0.811 0.190 0.797
O: 0.286 0.286 0.000
O: 0.189 0.810 0.797
O: 0.680 0.682 0.500
O: 0.320 0.318 0.500

Space group = No. 65
E_tot = -7.917 eV per atom
Crystal system = orthorhombic

***

Sm3ScCo | PBE-GGA | optimized geometry

Unit cell a=5.314 b=5.314 c=5.314 alpha=90.00 beta=90.00 gamma=90.00
Atoms (fractional coordinates):
Sc: 0.500 0.500 0.500
Co: 0.000 0.000 0.000
Sm: 0.000 0.500 0.000
Sm: 0.000 0.000 0.500
Sm: 0.500 0.000 0.000

Space group = No. 221
ΔE_f = 62 kJ/mol of formula units
Crystal system = cubic

***

M_tot per entry: 0.000 0.000 0.000 0.000 0.020 0.000 0.172 0.269 μB per atom